[1]
# AlAgC (PBE, relaxed)
data_AlAgC
_chemical_formula_sum 'Al2 Ag2 C2'
_cell_length_a 3.0731
_cell_length_b 3.0731
_cell_length_c 10.2399
_cell_angle_alpha 90.00
_cell_angle_beta 90.00
_cell_angle_gamma 120.00
_space_group_name_H-M_alt 'P 3 m 1'
_space_group_IT_number 156
loop_
_space_group_symop_operation_xyz
'x,y,z'
'-y,x-y,z'
'-x+y,-x,z'
'-y,-x,z'
'-x+y,y,z'
'x,x-y,z'
loop_
_atom_site_label
_atom_site_type_symbol
_atom_site_fract_x
_atom_site_fract_y
_atom_site_fract_z
Al1 Al 0.0000 0.0000 0.0000
Al2 Al 0.3333 0.6667 0.3381
Ag1 Ag 0.3333 0.6667 0.7888
Ag2 Ag 0.6667 0.3333 0.5544
C1 C 0.6667 0.3333 0.1038
C2 C 0.6667 0.3333 0.2352
# E ... -5.039 eV per atom
# Fermi-level density of states ... 1.422 states/eV/cell
# DFT formation energy ... 234 meV/atom

[2]
# AcPrCdI (PBE, relaxed)
data_AcPrCdI
_chemical_formula_sum 'Ac4 Pr4 Cd4 I4'
_cell_length_a 8.086
_cell_length_b 8.086
_cell_length_c 8.086
_cell_angle_alpha 90.00
_cell_angle_beta 90.00
_cell_angle_gamma 90.00
_space_group_name_H-M_alt 'F -4 3 m'
_space_group_IT_number 216
_space_group_name_Hall 'F -4 2 3'
loop_
_atom_site_label
_atom_site_type_symbol
_atom_site_fract_x
_atom_site_fract_y
_atom_site_fract_z
Ac1 Ac 0.000 0.000 0.000
Pr1 Pr 0.000 0.000 0.500
Cd1 Cd 0.250 0.250 0.750
I1 I 0.250 0.250 0.250
# E ... -3.278 eV per atom
# Fermi-level density of states ... 21.445 states/eV/cell
# Raw formation energy ... -0.4402 eV/atom

[3]
# SiBIr2 (PBE, relaxed)
data_SiBIr2
_chemical_formula_sum 'Si4 B4 Ir8'
_cell_length_a 5.772
_cell_length_b 5.772
_cell_length_c 5.772
_cell_angle_alpha 90.00
_cell_angle_beta 90.00
_cell_angle_gamma 90.00
_space_group_name_H-M_alt 'F m -3 m'
_space_group_IT_number 225
_space_group_name_Hall '-F 4 2 3'
loop_
_atom_site_label
_atom_site_type_symbol
_atom_site_fract_x
_atom_site_fract_y
_atom_site_fract_z
Si1 Si 0.000 0.000 0.000
B1 B 0.000 0.000 0.500
Ir1 Ir 0.250 0.250 0.250
# E ... -7.395 eV per atom
# Fermi-level density of states ... 13.086 states/eV/cell
# Polymorph energy (0 for the lowest one) ... 104 meV per atom
# Raw formation energy ... 0.0605 eV/atom